# AcPm2Sm2

A relaxed AcPm2Sm2 crystal (GGA-PBE, the Alexandria database).

```
10
Lattice="-2.830 -1.835 1.584 -3.912 -10.897 -2.049 8.864 0.453 7.612" Properties=species:S:1:pos:R:3 pbc="T T T"
Ac 2.476 -5.222 2.781
Ac 0.000 0.000 0.000
Pm -2.414 -7.926 -0.319
Pm 1.522 -10.226 4.067
Pm 4.536 -4.353 7.466
Pm 0.600 -2.053 3.080
Sm 3.074 -7.277 5.854
Sm -1.854 -10.022 2.639
Sm 3.976 -2.256 4.509
Sm -0.952 -5.002 1.293
```

Output
E above lowest polymorph: 0 meV/atom
space-group type: P-1, No. 2
energy relative to the elements: 14 kJ/mol of formula units

=====

# Ac2Pm6Sm3

A relaxed Ac2Pm6Sm3 crystal (GGA-PBE, the Alexandria database).

```
11
Lattice="3.710 0.000 0.228 1.848 3.217 0.228 -0.175 -0.101 33.203" Properties=species:S:1:pos:R:3 pbc="T T T"
Ac 2.974 1.721 12.230
Ac 2.410 1.395 21.428
Pm 5.019 2.905 9.254
Pm 0.365 0.211 24.404
Pm 4.455 2.578 18.447
Pm 0.929 0.538 15.211
Pm 3.526 2.041 3.237
Pm 1.858 1.075 30.421
Sm 0.000 0.000 0.000
Sm 3.891 2.252 27.632
Sm 1.492 0.864 6.026
```

Output
space-group type: R-3m, No. 166
energy relative to the elements: 36 kJ/mol of formula units

=====

# Ac2PmSm5

A relaxed Ac2PmSm5 crystal (GGA-PBE, the Alexandria database).

```
16
Lattice="5.273 0.000 0.000 0.000 7.424 0.000 0.000 0.000 14.850" Properties=species:S:1:pos:R:3 pbc="T T T"
Ac 2.636 1.855 9.282
Ac 2.636 5.570 5.568
Ac 2.636 1.857 1.857
Ac 2.636 5.567 12.993
Pm 0.000 0.000 7.425
Pm 0.000 3.712 0.000
Sm 0.000 0.000 0.000
Sm 0.000 3.712 7.425
Sm 0.000 3.711 11.136
Sm 0.000 3.714 3.715
Sm 0.000 0.002 3.710
Sm 0.000 7.423 11.140
Sm 2.636 1.855 12.992
Sm 2.636 5.570 1.859
Sm 2.636 1.858 5.566
Sm 2.636 5.567 9.284
```

Output
space-group type: Pbam, No. 55
energy relative to the elements: 27 kJ/mol of formula units

=====

# AcPmSm14

A relaxed AcPmSm14 crystal (GGA-PBE, the Alexandria database).

```
16
Lattice="-7.075 2.040 0.553 2.129 -4.477 -5.473 -2.168 -9.365 6.818" Properties=species:S:1:pos:R:3 pbc="T T T"
Ac 0.600 -3.394 -4.472
Pm -3.998 -0.139 -1.462
Sm -5.093 -4.813 1.955
Sm -0.488 -8.074 -1.060
Sm -0.480 -1.154 -1.738
Sm -1.550 -5.836 1.677
Sm -2.937 -2.365 -4.183
Sm -4.026 -7.056 -0.786
Sm -3.625 -7.059 4.350
Sm -2.559 -2.449 0.995
Sm -6.084 -8.270 1.905
Sm -5.018 -3.661 -1.451
Sm -7.169 -6.067 4.663
Sm -6.086 -1.387 1.255
Sm -2.566 -9.288 1.630
Sm -1.498 -4.674 -1.729
```

Output
space-group type: Amm2, No. 38
energy relative to the elements: 57 kJ/mol of formula units

=====

# AcPmSm2

A relaxed AcPmSm2 crystal (GGA-PBE, the Alexandria database).

```
4
Lattice="3.640 0.000 0.000 1.820 3.152 0.000 1.820 1.051 12.952" Properties=species:S:1:pos:R:3 pbc="T T T"
Ac 0.000 0.000 0.000
Sm 1.820 1.051 9.388
Sm 5.459 3.152 3.564
Pm 3.640 2.101 6.476
```

Output
E above lowest polymorph: 137 meV/atom
space-group type: R-3m, No. 166
energy relative to the elements: 65 kJ/mol of formula units

=====

# AcPm2Sm5

A relaxed AcPm2Sm5 crystal (GGA-PBE, the Alexandria database).

```
32
Lattice="8.059 -1.975 2.844 -0.236 13.732 5.151 0.003 2.398 11.244" Properties=species:S:1:pos:R:3 pbc="T T T"
Ac 1.201 2.702 3.875
Ac 3.212 4.272 6.697
Ac 4.614 9.883 12.542
Ac 6.625 11.453 15.364
Pm 4.275 2.172 9.593
Pm 6.233 3.716 12.322
Pm 5.198 5.792 9.466
Pm 7.665 6.926 7.016
Pm 0.162 7.229 12.223
Pm 2.629 8.363 9.773
Pm 1.593 10.438 6.917
Pm 3.551 11.982 9.646
Sm 7.284 -0.797 3.970
Sm 2.082 14.361 11.978
Sm 7.740 1.326 10.085
Sm 4.786 1.798 4.347
Sm 6.734 3.382 7.147
Sm 2.758 0.275 1.575
Sm 1.670 4.794 10.000
Sm 0.621 6.885 7.057
Sm 2.135 6.359 3.776
Sm 3.702 6.282 12.698
Sm 4.124 7.872 6.541
Sm 5.691 7.796 15.463
Sm 7.205 7.270 12.182
Sm 6.157 9.360 9.239
Sm 5.068 13.880 17.663
Sm 1.092 10.772 12.092
Sm 3.041 12.356 14.892
Sm 0.086 12.829 9.154
Sm 5.744 -0.206 7.261
Sm 0.543 14.952 15.269
```

Output
E above lowest polymorph: 15 meV/atom
space-group type: P-1, No. 2
energy relative to the elements: 32 kJ/mol of formula units

=====

# Ac2Pm5Sm4

A relaxed Ac2Pm5Sm4 crystal (GGA-PBE, the Alexandria database).

```
11
Lattice="3.526 0.000 -0.537 -0.198 8.939 -1.302 0.113 0.520 12.574" Properties=species:S:1:pos:R:3 pbc="T T T"
Ac 3.250 2.760 9.488
Ac 0.190 6.699 1.246
Pm 0.515 1.286 3.376
Pm 2.925 8.173 7.358
Pm 0.711 7.636 4.666
Pm 1.763 0.000 -0.269
Pm 2.729 1.823 6.068
Sm 2.343 4.417 3.537
Sm 0.113 3.255 0.738
Sm 1.097 5.042 7.198
Sm 3.327 6.204 9.996
```

Output
E above lowest polymorph: 12 meV/atom
space-group type: C2/m, No. 12
energy relative to the elements: 166 kJ/mol of formula units

=====

# Ac2Pm4Sm3

A relaxed Ac2Pm4Sm3 crystal (GGA-PBE, the Alexandria database).

```
9
Lattice="-3.564 0.269 1.092 2.579 -1.338 2.350 4.770 25.499 9.288" Properties=species:S:1:pos:R:3 pbc="T T T"
Ac -1.070 2.117 2.380
Ac 2.624 21.867 9.574
Pm 2.583 13.806 5.029
Pm 0.565 10.858 5.564
Pm -0.441 5.479 3.605
Pm 3.594 19.215 6.999
Sm 4.686 25.053 9.126
Sm 1.565 8.366 3.047
Sm 1.577 16.268 7.535
```

Output
E above lowest polymorph: 0 meV/atom
space-group type: P3m1, No. 156
energy relative to the elements: 69 kJ/mol of formula units

=====

# Ac10PmSm4

A relaxed Ac10PmSm4 crystal (GGA-PBE, the Alexandria database).

```
15
Lattice="7.573 0.000 3.420 3.787 9.307 1.710 -0.044 0.000 10.193" Properties=species:S:1:pos:R:3 pbc="T T T"
Ac 3.765 4.654 6.806
Ac 6.017 2.793 11.908
Ac 0.746 0.931 3.401
Ac 6.787 8.377 10.213
Ac 9.082 6.514 5.122
Ac 5.299 6.514 3.414
Ac 7.551 4.654 8.516
Ac 2.234 2.793 10.200
Ac 4.529 0.931 5.110
Ac 10.570 8.377 11.921
Pm 0.000 0.000 0.000
Sm 6.040 7.444 6.814
Sm 8.296 5.583 11.914
Sm 3.020 3.725 3.408
Sm 5.276 1.863 8.508
```

Output
space-group type: I4/m, No. 87
energy relative to the elements: 844 kJ/mol of formula units

=====

# AcPmSm

A relaxed AcPmSm crystal (GGA-PBE, the Alexandria database).

```
6
Lattice="-0.530 -1.251 3.517 3.350 1.398 -1.019 -5.433 16.774 5.150" Properties=species:S:1:pos:R:3 pbc="T T T"
Ac -2.448 9.546 5.049
Ac -0.165 7.374 2.599
Pm -2.938 15.935 5.228
Pm 0.325 0.985 2.420
Sm -4.132 12.759 3.917
Sm -1.300 4.014 1.232
```

Output
E above lowest polymorph: 9 meV/atom
space-group type: P-3m1, No. 164
energy relative to the elements: 14 kJ/mol of formula units

=====

# AcPmSm2

A relaxed AcPmSm2 crystal (GGA-PBE, the Alexandria database).

```
4
Lattice="3.752 0.000 0.000 0.000 3.752 0.000 0.000 0.000 10.395" Properties=species:S:1:pos:R:3 pbc="T T T"
Ac 1.876 1.876 5.198
Sm 0.000 0.000 7.917
Sm 0.000 0.000 2.479
Pm 1.876 1.876 0.000
```

Output
E above lowest polymorph: 3 meV/atom
space-group type: P4/mmm, No. 123
energy relative to the elements: 14 kJ/mol of formula units

=====

# Ac2Pm9Sm

A relaxed Ac2Pm9Sm crystal (GGA-PBE, the Alexandria database).

```
12
Lattice="-1.777 -1.848 -4.561 -1.268 -4.513 2.323 -14.274 5.688 3.258" Properties=species:S:1:pos:R:3 pbc="T T T"
Ac -4.732 1.885 1.080
Ac -9.543 3.802 2.178
Pm -1.523 -3.181 -1.119
Pm -6.243 -1.300 -0.042
Pm -11.077 0.626 1.062
Pm -3.192 -0.006 -1.755
Pm -8.026 1.920 -0.652
Pm -12.860 3.846 0.452
Pm -2.937 -1.339 1.687
Pm -7.771 0.587 2.791
Pm -12.606 2.513 3.894
Sm 0.000 0.000 0.000
```

Output
space-group type: P4/mmm, No. 123
energy relative to the elements: 31 kJ/mol of formula units

=====

# AcPmSm2

A relaxed AcPmSm2 crystal (GGA-PBE, the Alexandria database).

```
4
Lattice="-2.471 -2.536 1.263 1.101 -2.651 2.428 -3.206 5.502 10.373" Properties=species:S:1:pos:R:3 pbc="T T T"
Ac -4.118 2.043 12.832
Pm -2.284 0.149 7.021
Sm -2.502 3.652 8.034
Sm -1.164 0.131 3.582
```

Output
E above lowest polymorph: 3 meV/atom
space-group type: R3m, No. 160
energy relative to the elements: 14 kJ/mol of formula units

=====

# Ac2Pm6Sm5

A relaxed Ac2Pm6Sm5 crystal (GGA-PBE, the Alexandria database).

```
26
Lattice="-0.457 3.523 -1.079 -11.836 -2.067 -1.736 -3.864 5.546 19.748" Properties=species:S:1:pos:R:3 pbc="T T T"
Ac -5.033 0.859 4.938
Ac -10.667 2.620 13.074
Ac -10.724 -0.500 2.909
Ac -4.977 3.980 15.104
Pm -2.274 1.859 7.034
Pm -13.427 1.620 10.979
Pm -7.321 -0.424 1.716
Pm -8.380 3.904 16.296
Pm -4.455 1.776 1.299
Pm -11.702 5.226 15.635
Pm -11.371 2.174 5.526
Pm -4.787 4.829 11.407
Pm -8.263 1.202 7.423
Pm -7.438 2.278 10.589
Pm -0.992 0.293 1.377
Pm -14.709 3.186 16.635
Sm -5.484 3.618 7.749
Sm -10.674 3.385 9.185
Sm -9.888 0.411 -0.857
Sm -6.270 6.591 17.791
Sm -8.351 2.100 4.005
Sm -7.806 4.903 12.928
Sm -2.183 2.774 3.595
Sm -13.974 4.228 13.338
Sm -6.147 0.728 -1.407
Sm -2.161 4.535 9.335
```

Output
space-group type: Pbam, No. 55
energy relative to the elements: 130 kJ/mol of formula units

=====

# AcPmSm

A relaxed AcPmSm crystal (GGA-PBE, the Alexandria database).

```
12
Lattice="-0.180 4.989 1.892 -0.412 -1.900 4.973 15.727 0.065 1.327" Properties=species:S:1:pos:R:3 pbc="T T T"
Ac 3.694 3.283 2.995
Ac 11.647 0.821 2.711
Ac 3.577 -0.162 4.535
Ac 11.351 2.366 6.144
Pm 14.141 -0.118 5.425
Pm 0.787 2.322 5.253
Pm 8.857 3.305 3.429
Pm 6.484 0.799 2.276
Sm 1.081 0.777 1.820
Sm 14.260 3.327 3.886
Sm 6.190 2.344 5.709
Sm 8.738 -0.140 4.970
```

Output
E above lowest polymorph: 1 meV/atom
space-group type: Cmcm, No. 63
energy relative to the elements: 12 kJ/mol of formula units

=====

# AcPmSm3

A relaxed AcPmSm3 crystal (GGA-PBE, the Alexandria database).

```
10
Lattice="3.752 -0.001 0.000 1.873 11.113 2.359 -0.001 0.526 8.816" Properties=species:S:1:pos:R:3 pbc="T T T"
Ac 1.064 5.446 8.455
Ac 2.942 3.564 2.677
Pm 4.815 9.546 4.168
Pm 4.817 10.576 9.324
Sm 1.066 0.690 4.105
Sm 2.939 7.291 1.957
Sm 1.069 1.193 0.359
Sm 2.942 3.008 6.285
Sm 2.940 8.320 7.027
Sm 1.064 6.002 4.847
```

Output
E above lowest polymorph: 16 meV/atom
space-group type: C2/m, No. 12
energy relative to the elements: 22 kJ/mol of formula units

=====

# Ac2Pm4Sm5

A relaxed Ac2Pm4Sm5 crystal (GGA-PBE, the Alexandria database).

```
11
Lattice="-1.230 -1.904 -5.991 6.866 5.473 -4.310 -1.739 -8.683 9.979" Properties=species:S:1:pos:R:3 pbc="T T T"
Ac -0.239 -2.644 -3.732
Ac 4.135 -2.471 3.411
Pm 0.760 -3.779 4.461
Pm 3.137 -1.335 -4.782
Pm 5.572 3.113 -4.456
Pm -1.676 -8.228 4.135
Sm 2.121 -1.016 -1.242
Sm 1.776 -4.098 0.921
Sm -1.485 -5.294 1.994
Sm 3.310 1.600 -6.918
Sm 0.587 -6.715 6.597
```

Output
E above lowest polymorph: 0 meV/atom
space-group type: P-1, No. 2
energy relative to the elements: 36 kJ/mol of formula units

=====

# Ac4Pm4Sm

A relaxed Ac4Pm4Sm crystal (GGA-PBE, the Alexandria database).

```
9
Lattice="-2.073 1.428 -4.732 -8.469 -0.681 0.468 -1.513 8.372 0.154" Properties=species:S:1:pos:R:3 pbc="T T T"
Ac -5.021 8.622 -1.269
Ac -7.034 0.497 -2.840
Ac -10.860 5.858 -2.581
Ac -1.195 3.261 -1.528
Pm -6.110 2.389 0.362
Pm -5.945 6.730 -4.471
Pm -4.755 3.552 -2.916
Pm -7.300 5.567 -1.193
Sm 0.000 0.000 0.000
```

Output
space-group type: I4/mmm, No. 139
energy relative to the elements: 36 kJ/mol of formula units

=====

# Ac9PmSm2

A relaxed Ac9PmSm2 crystal (GGA-PBE, the Alexandria database).

```
12
Lattice="-5.478 0.555 -0.355 -0.632 -5.266 1.520 -0.557 4.649 15.876" Properties=species:S:1:pos:R:3 pbc="T T T"
Ac -3.055 -2.355 0.583
Ac -3.241 -0.805 5.878
Ac -3.426 0.743 11.163
Ac -2.832 1.054 2.474
Ac -3.017 2.602 7.761
Ac -3.203 4.151 13.048
Ac -0.409 -1.856 3.411
Ac -0.595 -0.308 8.698
Ac -0.780 1.240 13.985
Pm 0.000 0.000 0.000
Sm -0.186 1.551 5.297
Sm -0.371 3.098 10.580
```

Output
space-group type: P4/mmm, No. 123
energy relative to the elements: 30 kJ/mol of formula units

=====

# Ac3Pm5Sm4

A relaxed Ac3Pm5Sm4 crystal (GGA-PBE, the Alexandria database).

```
12
Lattice="-2.852 -5.224 4.550 6.255 0.663 -7.635 0.642 0.580 13.415" Properties=species:S:1:pos:R:3 pbc="T T T"
Ac 1.301 -3.314 6.318
Ac 0.321 0.290 6.707
Ac 2.744 -0.666 4.012
Pm 3.807 -0.806 7.646
Pm -1.105 -2.322 8.982
Pm -0.035 -2.435 12.577
Pm 4.081 -1.545 -2.246
Pm 0.239 -3.175 2.684
Sm 1.373 0.150 10.328
Sm 2.363 -3.402 9.929
Sm 1.683 -0.579 0.401
Sm 2.673 -4.131 0.003
```

Output
space-group type: P-1, No. 2
energy relative to the elements: 44 kJ/mol of formula units